(1)
The following is a DFT calculation (GGA-PBE) of crystalline LiPm3Pu3Te8 at its relaxed geometry.

Properties
mass density	7.4	Mg/m³
ΔE_f (raw)	-116.9	kJ per mole of atoms
space-group type	R-3m (166)

```
LiPm3Pu3Te8
1.0
4.4335 2.5597 7.2420
-4.4335 2.5597 7.2420
0.0000 -5.1193 7.2420
Li Pm Pu Te
1 3 3 8
direct
0.0000 0.0000 0.0000
0.0000 0.0000 0.5000
0.0000 0.5000 0.0000
0.5000 0.0000 0.0000
0.0000 0.5000 0.5000
0.5000 0.0000 0.5000
0.5000 0.5000 0.0000
0.2482 0.2482 0.7502
0.2482 0.7502 0.2482
0.2498 0.7518 0.7518
0.2513 0.2513 0.2513
0.7487 0.7487 0.7487
0.7502 0.2482 0.2482
0.7518 0.2498 0.7518
0.7518 0.7518 0.2498
```

---

(2)
The following is a DFT calculation (GGA-PBE) of crystalline AcDyZnAg at its relaxed geometry.

Properties
mass density	8.7	Mg/m³
formation energy	-0.28	eV per atom
space-group type	P4mm (99)

```
AcDyZnAg
1.0
3.7519 0.0000 0.0000
0.0000 3.7519 0.0000
0.0000 0.0000 7.5894
Ac Dy Zn Ag
1 1 1 1
direct
0.0000 0.0000 0.0000
0.0000 0.0000 0.4892
0.5000 0.5000 0.2786
0.5000 0.5000 0.7026
```

---

(3)
The following is a DFT calculation (GGA-PBE) of crystalline KTaZn2 at its relaxed geometry.

Properties
mass density	5.8	Mg/m³
formation energy	0.90	eV per atom
space-group type	Immm (71)

```
KTaZn2
1.0
-1.3848 3.1878 5.6859
1.3848 -3.1878 5.6859
1.3848 3.1878 -5.6859
K Ta Zn
1 1 2
direct
0.0000 0.0000 0.0000
0.5000 0.5000 0.0000
0.2920 0.7920 0.5000
0.7080 0.2080 0.5000
```

---

(4)
The following is a DFT calculation (GGA-PBE) of crystalline NaHoCuS2 at its relaxed geometry.

Properties
mass density	4.6	Mg/m³
ΔE_f (raw)	-99.0	kJ per mole of atoms
space-group type	P2/c (13)

```
NaHoCuS2
1.0
6.6978 0.0000 0.0000
0.0000 4.5567 0.0000
-1.2312 0.0000 7.4955
Na Ho Cu S
2 2 2 4
direct
0.0000 0.1403 0.2500
0.0000 0.8597 0.7500
0.5000 0.4915 0.7500
0.5000 0.5085 0.2500
0.5000 0.0000 0.0000
0.5000 0.0000 0.5000
0.2410 0.3122 0.9665
0.2410 0.6878 0.4665
0.7590 0.3122 0.5335
0.7590 0.6878 0.0335
```

---

(5)
The following is a DFT calculation (GGA-PBE) of crystalline K5Ru4 at its relaxed geometry.

Properties
mass density	3.3	Mg/m³
formation energy	1.29	eV per atom
space-group type	P6_3/mcm (193)

```
K5Ru4
1.0
11.9778 0.0000 0.0000
-5.9889 10.3731 0.0000
0.0000 0.0000 4.8368
K Ru
10 8
direct
0.0000 0.2594 0.2500
0.0000 0.7406 0.7500
0.2594 0.0000 0.2500
0.2594 0.2594 0.7500
0.3333 0.6667 0.0000
0.3333 0.6667 0.5000
0.6667 0.3333 0.0000
0.6667 0.3333 0.5000
0.7406 0.0000 0.7500
0.7406 0.7406 0.2500
0.0000 0.0000 0.0000
0.0000 0.0000 0.5000
0.0000 0.4835 0.7500
0.0000 0.5165 0.2500
0.4835 0.0000 0.7500
0.4835 0.4835 0.2500
0.5165 0.0000 0.2500
0.5165 0.5165 0.7500
```

---

(6)
The following is a DFT calculation (GGA-PBE) of crystalline BeTe2As at its relaxed geometry.

Properties
mass density	6.0	Mg/m³
ΔE_f (raw)	17.4	kJ per mole of atoms
space-group type	P4mm (99)

```
BeTe2As
1.0
4.0440 0.0000 0.0000
0.0000 4.0440 0.0000
0.0000 0.0000 5.7574
Be Te As
1 2 1
direct
0.0000 0.0000 0.0000
0.0000 0.0000 0.5566
0.5000 0.5000 0.0523
0.5000 0.5000 0.5307
```

---

(7)
The following is a DFT calculation (GGA-PBE) of crystalline Ti2PbBr at its relaxed geometry.

Properties
mass density	7.9	Mg/m³
ΔE_f (raw)	11.2	kJ per mole of atoms
space-group type	Fm-3m (225)

```
Ti2PbBr
1.0
0.0000 3.4239 3.4239
3.4239 0.0000 3.4239
3.4239 3.4239 0.0000
Ti Pb Br
2 1 1
direct
0.2500 0.2500 0.2500
0.7500 0.7500 0.7500
0.0000 0.0000 0.0000
0.5000 0.5000 0.5000
```

---

(8)
The following is a DFT calculation (GGA-PBE) of crystalline TbDy3Tm3 at its relaxed geometry.

Properties
mass density	8.5	Mg/m³
formation energy	0.15	eV per atom
space-group type	R-3 (148)

```
TbDy3Tm3
1.0
3.0517 1.7619 14.0408
-3.0517 1.7619 14.0408
0.0000 -3.5238 14.0408
Tb Dy Tm
2 6 6
direct
0.1667 0.1667 0.1667
0.8333 0.8333 0.8333
0.0363 0.6989 0.3673
0.3011 0.6327 0.9637
0.3673 0.0363 0.6989
0.6327 0.9637 0.3011
0.6989 0.3673 0.0363
0.9637 0.3011 0.6327
0.0995 0.4336 0.7675
0.2325 0.9005 0.5664
0.4336 0.7675 0.0995
0.5664 0.2325 0.9005
0.7675 0.0995 0.4336
0.9005 0.5664 0.2325
```

---

(9)
The following is a DFT calculation (GGA-PBE) of crystalline Li2FeTc at its relaxed geometry.

Properties
mass density	5.5	Mg/m³
formation energy	0.34	eV per atom
space-group type	P4/mmm (123)

```
Li2FeTc
1.0
3.3645 0.0000 0.0000
0.0000 3.3645 0.0000
0.0000 0.0000 4.4752
Li Fe Tc
2 1 1
direct
0.0000 0.5000 0.0000
0.5000 0.0000 0.0000
0.0000 0.0000 0.5000
0.5000 0.5000 0.5000
```

---

(10)
The following is a DFT calculation (GGA-PBE) of crystalline PuZnInAu at its relaxed geometry.

Properties
mass density	12.0	Mg/m³
formation energy	-0.29	eV per atom
space-group type	F-43m (216)

```
PuZnInAu
1.0
0.0000 3.5059 3.5059
3.5059 0.0000 3.5059
3.5059 3.5059 0.0000
Pu Zn In Au
1 1 1 1
direct
0.0000 0.0000 0.0000
0.2500 0.2500 0.2500
0.5000 0.5000 0.5000
0.7500 0.7500 0.7500
```

---

(11)
The following is a DFT calculation (GGA-PBE) of crystalline FePbAu2 at its relaxed geometry.

Properties
mass density	14.3	Mg/m³
formation energy	0.29	eV per atom
space-group type	P4/mmm (123)

```
FePbAu2
1.0
4.1548 0.0000 0.0000
0.0000 4.1548 0.0000
0.0000 0.0000 4.4200
Fe Pb Au
1 1 2
direct
0.0000 0.0000 0.0000
0.5000 0.5000 0.0000
0.0000 0.5000 0.5000
0.5000 0.0000 0.5000
```

---

(12)
The following is a DFT calculation (GGA-PBE) of crystalline CuGe3P at its relaxed geometry.

Properties
mass density	5.1	Mg/m³
formation energy	0.63	eV per atom
space-group type	Pm-3m (221)

```
CuGe3P
1.0
4.6590 0.0000 0.0000
0.0000 4.6590 0.0000
0.0000 0.0000 4.6590
Cu Ge P
1 3 1
direct
0.0000 0.0000 0.0000
0.0000 0.0000 0.5000
0.0000 0.5000 0.0000
0.5000 0.0000 0.0000
0.5000 0.5000 0.5000
```